No. 1
# Be2TlCo

Crystalline Be2TlCo at its relaxed geometry (GGA-PBE, the Alexandria database).

Output
Calculated density   8651 kg/m³
Energy of formation from the pure elements   0.663 eV per atom
Offset from the most stable computed form   459 meV per atom

Cell lengths 5.2589, 8.2769, 2.9158 Å; angles 90.00, 121.68, 90.00 degrees
Last column: nearest neighbours and their distance in Å.
Space group C2/m (No. 12)
Symmetry-distinct sites (fractional):
Be 0.2500 0.2500 0.0000 [4 per cell]  2 Tl 2.45, 2 Co 2.45, 4 Be 2.63-2.71
Tl 0.0000 0.0000 0.0000 [2 per cell]  4 Be 2.45, 4 Co 2.63-2.71
Co 0.0000 0.5000 0.0000 [2 per cell]  4 Be 2.45, 4 Tl 2.63-2.71

No. 2
# Pm2PRh

Crystalline Pm2PRh at its relaxed geometry (GGA-PBE, the Alexandria database).

Output
Calculated density   7955 kg/m³
Energy of formation from the pure elements   -0.803 eV per atom
Offset from the most stable computed form   141 meV per atom

Cell lengths 7.0736, 7.0736, 7.0736 Å; angles 90.00, 90.00, 90.00 degrees
Last column: nearest neighbours and their distance in Å.
Space group Fm-3m (No. 225)
Symmetry-distinct sites (fractional):
Pm 0.2500 0.2500 0.2500 [8 per cell]  4 Rh 3.06, 4 P 3.06
P 0.0000 0.0000 0.0000 [4 per cell]  8 Pm 3.06
Rh 0.0000 0.0000 0.5000 [4 per cell]  8 Pm 3.06

No. 3
# Na2Hf2TiTe6

Crystalline Na2Hf2TiTe6 at its relaxed geometry (GGA-PBE, the Alexandria database).

Output
Calculated density   6108 kg/m³
Formation energy without anion corrections   -831 meV per atom

Cell lengths 6.9666, 12.0702, 8.2223 Å; angles 90.00, 106.94, 90.00 degrees
Last column: nearest neighbours and their distance in Å.
Space group C2/m (No. 12)
Symmetry-distinct sites (fractional):
Na 0.0000 0.1687 0.0000 [4 per cell]  6 Te 3.21-3.23
Hf 0.0000 0.3316 0.5000 [4 per cell]  6 Te 2.90-2.91
Ti 0.0000 0.0000 0.5000 [2 per cell]  6 Te 2.85-2.86
Te 0.2406 0.1623 0.7190 [8 per cell]  1 Ti 2.85, 2 Hf 2.90-2.91
Te 0.2442 0.5000 0.7165 [4 per cell]  1 Ti 2.86, 2 Hf 2.90

No. 4
# BaInTcGe2

Crystalline BaInTcGe2 at its relaxed geometry (GGA-PBE, the Alexandria database).

Output
Calculated density   6493 kg/m³
Energy of formation from the pure elements   -0.179 eV per atom

Cell lengths 4.9100, 4.9100, 5.2557 Å; angles 90.00, 90.00, 90.00 degrees
Last column: nearest neighbours and their distance in Å.
Space group P4/mmm (No. 123)
Symmetry-distinct sites (fractional):
Ba 0.0000 0.0000 0.0000 [1 per cell]  4 In 3.47, 8 Ge 3.60
In 0.5000 0.5000 0.0000 [1 per cell]  2 Tc 2.63
Tc 0.5000 0.5000 0.5000 [1 per cell]  4 Ge 2.45, 2 In 2.63
Ge 0.0000 0.5000 0.5000 [2 per cell]  2 Tc 2.45

No. 5
# LiPm2Th

Crystalline LiPm2Th at its relaxed geometry (GGA-PBE, the Alexandria database).

Output
Calculated density   7004 kg/m³
Energy of formation from the pure elements   0.103 eV per atom
Offset from the most stable computed form   65 meV per atom

Cell lengths 3.5382, 3.5382, 34.7057 Å; angles 90.00, 90.00, 120.00 degrees
Last column: nearest neighbours and their distance in Å.
Space group R3m (No. 160, hexagonal axes)
Symmetry-distinct sites (fractional):
Li 0.0000 0.0000 0.0000 [3 per cell]  6 Pm 3.47-3.49, 6 Li 3.54
Pm 0.0000 0.0000 0.4150 [3 per cell]  3 Li 3.49, 6 Pm 3.54, 3 Th 3.60
Pm 0.0000 0.0000 0.5857 [3 per cell]  3 Li 3.47, 6 Pm 3.54, 3 Th 3.60
Th 0.0000 0.0000 0.8337 [3 per cell]  6 Th 3.54, 6 Pm 3.60

No. 6
# Er4ZnPd7

Crystalline Er4ZnPd7 at its relaxed geometry (GGA-PBE, the Alexandria database).

Output
Calculated density   10124 kg/m³
Energy of formation from the pure elements   -0.684 eV per atom

Cell lengths 10.7059, 5.0663, 10.1502 Å; angles 90.00, 118.18, 90.00 degrees
Last column: nearest neighbours and their distance in Å.
Space group C2/m (No. 12)
Symmetry-distinct sites (fractional):
Er 0.0919 0.0000 0.2865 [4 per cell]  8 Pd 2.77-3.02
Er 0.2133 0.5000 0.1386 [4 per cell]  5 Pd 2.77-3.04
Zn 0.0000 0.5000 0.5000 [2 per cell]  6 Pd 2.53-2.74
Pd 0.0000 0.0000 0.5000 [2 per cell]  2 Zn 2.53, 2 Er 2.77
Pd 0.0818 0.5000 0.8000 [4 per cell]  2 Pd 2.74-2.79, 1 Zn 2.74, 3 Er 3.02-3.04
Pd 0.1309 0.0000 0.0175 [4 per cell]  2 Pd 2.65-2.74, 5 Er 2.77-2.95
Pd 0.2043 0.5000 0.4111 [4 per cell]  1 Zn 2.73, 4 Pd 2.79-2.99, 4 Er 2.80-2.83

No. 7
# K2CuSnCl6

Crystalline K2CuSnCl6 at its relaxed geometry (GGA-PBE, the Alexandria database).

Output
Calculated density   2887 kg/m³
Formation energy without anion corrections   -1253 meV per atom

Cell lengths 7.2460, 10.3808, 7.2354 Å; angles 90.00, 90.00, 90.00 degrees
Last column: nearest neighbours and their distance in Å.
Space group Pmmn (No. 59, origin choice 2)
Symmetry-distinct sites (fractional):
K 0.2500 0.0020 0.2504 [4 per cell]  12 Cl 3.61-3.66
Cu 0.2500 0.2500 0.7494 [2 per cell]  6 Cl 2.45-2.52
Sn 0.2500 0.7500 0.7505 [2 per cell]  6 Cl 2.67
Cl 0.0110 0.2500 0.5101 [4 per cell]  1 Cu 2.45, 1 Sn 2.67
Cl 0.0108 0.2500 0.9888 [4 per cell]  1 Cu 2.45, 1 Sn 2.67
Cl 0.2500 0.0076 0.7498 [4 per cell]  1 Cu 2.52, 1 Sn 2.67

No. 8
# TaZn2Re

Crystalline TaZn2Re at its relaxed geometry (GGA-PBE, the Alexandria database).

Output
Calculated density   13397 kg/m³
Energy of formation from the pure elements   0.072 eV per atom
Offset from the most stable computed form   42 meV per atom

Cell lengths 3.3674, 4.1856, 4.3791 Å; angles 90.00, 90.00, 90.00 degrees
Last column: nearest neighbours and their distance in Å.
Space group Pmmm (No. 47)
Symmetry-distinct sites (fractional):
Ta 0.0000 0.0000 0.0000 [1 per cell]  4 Re 2.69, 4 Zn 2.76
Zn 0.0000 0.5000 0.5000 [1 per cell]  4 Zn 2.69, 4 Re 2.76
Zn 0.5000 0.0000 0.5000 [1 per cell]  4 Zn 2.69, 4 Ta 2.76
Re 0.5000 0.5000 0.0000 [1 per cell]  4 Ta 2.69, 4 Zn 2.76

No. 9
# Tb2Cd2Au

Crystalline Tb2Cd2Au at its relaxed geometry (GGA-PBE, the Alexandria database).

Output
Calculated density   9623 kg/m³
Energy of formation from the pure elements   -0.412 eV per atom

Cell lengths 3.5433, 20.8176, 3.4607 Å; angles 90.00, 90.00, 90.00 degrees
Last column: nearest neighbours and their distance in Å.
Space group Cmmm (No. 65)
Symmetry-distinct sites (fractional):
Tb 0.0000 0.0895 0.0000 [4 per cell]  4 Au 3.10, 4 Cd 3.30, 2 Tb 3.46
Cd 0.0000 0.3059 0.5000 [4 per cell]  2 Cd 2.92
Au 0.0000 0.5000 0.5000 [2 per cell]  8 Tb 3.10, 2 Au 3.46

No. 10
# ZrCrPt2

Crystalline ZrCrPt2 at its relaxed geometry (GGA-PBE, the Alexandria database).

Output
Calculated density   13295 kg/m³
Energy of formation from the pure elements   -0.187 eV per atom

Cell lengths 2.9045, 2.9045, 27.3577 Å; angles 90.00, 90.00, 120.00 degrees
Last column: nearest neighbours and their distance in Å.
Space group R-3m (No. 166, hexagonal axes)
Symmetry-distinct sites (fractional):
Zr 0.0000 0.0000 0.0000 [3 per cell]  6 Zr 2.90, 6 Pt 2.96
Cr 0.0000 0.0000 0.5000 [3 per cell]  6 Pt 2.70, 6 Cr 2.90
Pt 0.0000 0.0000 0.2441 [6 per cell]  3 Cr 2.70, 6 Pt 2.90, 3 Zr 2.96

No. 11
# HfBRh3

Crystalline HfBRh3 at its relaxed geometry (GGA-PBE, the Alexandria database).

Output
Calculated density   11793 kg/m³
Energy of formation from the pure elements   -0.629 eV per atom
Offset from the most stable computed form   155 meV per atom

Cell lengths 4.9243, 5.4892, 5.1956 Å; angles 90.00, 92.96, 90.00 degrees
Last column: nearest neighbours and their distance in Å.
Space group P2_1/m (No. 11)
Symmetry-distinct sites (fractional):
Hf 0.1327 0.2500 0.1700 [2 per cell]  2 B 2.60-2.75, 6 Rh 2.81-2.89
B 0.3613 0.7500 0.0325 [2 per cell]  5 Rh 2.07-2.18
Rh 0.1106 0.7500 0.3394 [2 per cell]  1 B 2.07
Rh 0.3763 0.0045 0.7372 [4 per cell]  2 B 2.08-2.18

No. 12
# Hf2ScP

Crystalline Hf2ScP at its relaxed geometry (GGA-PBE, the Alexandria database).

Output
Calculated density   7858 kg/m³
Energy of formation from the pure elements   -0.235 eV per atom

Cell lengths 3.4311, 3.4311, 26.9173 Å; angles 90.00, 90.00, 120.00 degrees
Last column: nearest neighbours and their distance in Å.
Space group R-3m (No. 166, hexagonal axes)
Symmetry-distinct sites (fractional):
Hf 0.0000 0.0000 0.1093 [6 per cell]  3 P 2.51
Sc 0.0000 0.0000 0.0000 [3 per cell]  2 Hf 2.94
P 0.0000 0.0000 0.5000 [3 per cell]  6 Hf 2.51

no.,raw total energy (eV per atom)
1,-3.569
2,-6.368
3,-5.312
4,-5.031
5,-4.605
6,-5.340
7,-3.391
8,-6.640
9,-3.286
10,-7.750
11,-8.366
12,-8.147